The following is a PBE-GGA calculation of CsPrInTe3 after structural relaxation, from OQMD.

Cell: 8.7526 8.7526 12.4623 Å, 90.00 90.00 147.76°
Positions (direct):
Te 0.3741 0.6259 0.5417
Te 0.3741 0.6259 0.9583
Te 0.9409 0.0591 0.2500
Te 0.6259 0.3741 0.4583
Te 0.0591 0.9409 0.7500
Te 0.6259 0.3741 0.0417
In 0.5417 0.4583 0.2500
In 0.4583 0.5417 0.7500
Cs 0.7500 0.2500 0.7500
Cs 0.2500 0.7500 0.2500
Pr 0.0000 0.0000 0.0000
Pr 0.0000 0.0000 0.5000

* V: 42.4 A^3/atom
* magnetic moment: 0.02 μB/f.u.
* excess energy over the best structure of this formula in the dataset: 0.000 eV/atom
* calculated total energy: -47.08 eV/cell